Record 1
DFT (GGA-PBE) results for Li2SiOs after structural relaxation.

The value obtained for the formation energy without anion corrections is 0.290 eV/atom.

Cell: 6.853 6.853 4.684 Å, 90.00 90.00 90.00°
Space group I-42d (No. 122)
One atom of each set of equivalent atoms:
Li 0.240 0.250 0.125 (multiplicity 8)
Si 0.000 0.000 0.000 (multiplicity 4)
Os 0.000 0.000 0.500 (multiplicity 4)

---

Record 2
DFT (GGA-PBE) results for LiSiOs after structural relaxation.

Its offset from the most stable computed form is 0.0000 eV/atom. The value obtained for the formation energy without anion corrections is -0.283 eV/atom.

Cell: 6.457 10.335 11.985 Å, 90.00 90.00 90.00°
Space group Fddd (No. 70, origin choice 2)
One atom of each set of equivalent atoms:
Li 0.000 0.000 0.000 (multiplicity 16)
Si 0.125 0.303 0.625 (multiplicity 16)
Os 0.125 0.125 0.500 (multiplicity 16)

---

Record 3
DFT (GGA-PBE) results for LiSiOs4 after structural relaxation.

The value obtained for the formation energy without anion corrections is 0.755 eV/atom.

Cell: 7.257 7.257 7.257 Å, 90.00 90.00 90.00°
Space group F-43m (No. 216)
One atom of each set of equivalent atoms:
Li 0.000 0.000 0.000 (multiplicity 4)
Si 0.250 0.250 0.250 (multiplicity 4)
Os 0.125 0.125 0.625 (multiplicity 16)

---

Record 4
DFT (GGA-PBE) results for Li2SiOs after structural relaxation.

The value obtained for the formation energy without anion corrections is 0.071 eV/atom.

Cell: 3.012 4.628 8.724 Å, 90.00 90.00 90.00°
Space group Cmm2 (No. 35)
One atom of each set of equivalent atoms:
Li 0.000 0.000 0.000 (multiplicity 2)
Li 0.000 0.500 0.300 (multiplicity 2)
Si 0.000 0.500 0.759 (multiplicity 2)
Os 0.000 0.000 0.548 (multiplicity 2)

---

Record 5
DFT (GGA-PBE) results for LiSiOs2 after structural relaxation.

The value obtained for the formation energy without anion corrections is 0.015 eV/atom.

Cell: 4.108 4.108 2.950 Å, 90.00 90.00 90.00°
Space group P4/mmm (No. 123)
One atom of each set of equivalent atoms:
Li 0.000 0.000 0.000 (multiplicity 1)
Si 0.500 0.500 0.000 (multiplicity 1)
Os 0.000 0.500 0.500 (multiplicity 2)

---

Record 6
DFT (GGA-PBE) results for Li3SiOs after structural relaxation.

Its offset from the most stable computed form is 0.0614 eV/atom. The value obtained for the formation energy without anion corrections is 1.248 eV/atom.

Cell: 4.593 4.593 4.593 Å, 90.00 90.00 90.00°
Space group Pm-3m (No. 221)
One atom of each set of equivalent atoms:
Li 0.000 0.000 0.500 (multiplicity 3)
Si 0.500 0.500 0.500 (multiplicity 1)
Os 0.000 0.000 0.000 (multiplicity 1)

---

Record 7
DFT (GGA-PBE) results for Li2SiOs after structural relaxation.

The value obtained for the formation energy without anion corrections is -0.185 eV/atom.

Cell: 9.894 2.859 4.010 Å, 90.00 113.72 90.00°
Space group C2/m (No. 12)
One atom of each set of equivalent atoms:
Li 0.245 0.000 0.245 (multiplicity 4)
Si 0.000 0.500 0.000 (multiplicity 2)
Os 0.000 0.000 0.500 (multiplicity 2)

---

Record 8
DFT (GGA-PBE) results for Li2SiOs after structural relaxation.

The value obtained for the formation energy without anion corrections is -0.155 eV/atom.

Cell: 3.091 3.091 5.729 Å, 90.00 90.00 90.00°
Space group P4mm (No. 99)
One atom of each set of equivalent atoms:
Li 0.000 0.000 0.000 (multiplicity 1)
Li 0.500 0.500 0.260 (multiplicity 1)
Si 0.500 0.500 0.718 (multiplicity 1)
Os 0.000 0.000 0.527 (multiplicity 1)

---

Record 9
DFT (GGA-PBE) results for LiTaSiOs after structural relaxation.

The value obtained for the formation energy without anion corrections is -0.465 eV/atom.

Cell: 6.076 6.076 6.076 Å, 90.00 90.00 90.00°
Space group F-43m (No. 216)
One atom of each set of equivalent atoms:
Li 0.000 0.000 0.000 (multiplicity 4)
Ta 0.250 0.250 0.250 (multiplicity 4)
Si 0.250 0.250 0.750 (multiplicity 4)
Os 0.000 0.000 0.500 (multiplicity 4)

---

Record 10
DFT (GGA-PBE) results for LiThSi2Os after structural relaxation.

The value obtained for the formation energy without anion corrections is -0.566 eV/atom.

Cell: 4.183 4.183 9.985 Å, 90.00 90.00 90.00°
Space group I-4m2 (No. 119)
One atom of each set of equivalent atoms:
Li 0.000 0.000 0.000 (multiplicity 2)
Th 0.000 0.500 0.750 (multiplicity 2)
Si 0.000 0.500 0.124 (multiplicity 4)
Os 0.000 0.000 0.500 (multiplicity 2)

---

Record 11
DFT (GGA-PBE) results for LiTlSi2Os after structural relaxation.

The value obtained for the formation energy without anion corrections is 0.138 eV/atom.

Cell: 4.598 4.598 5.127 Å, 90.00 90.00 90.00°
Space group P4/mmm (No. 123)
One atom of each set of equivalent atoms:
Li 0.000 0.000 0.000 (multiplicity 1)
Tl 0.500 0.500 0.000 (multiplicity 1)
Si 0.000 0.500 0.500 (multiplicity 2)
Os 0.000 0.000 0.500 (multiplicity 1)

---

Record 12
DFT (GGA-PBE) results for LiSiOsW after structural relaxation.

The value obtained for the formation energy without anion corrections is -0.141 eV/atom.

Cell: 5.998 5.998 5.998 Å, 90.00 90.00 90.00°
Space group F-43m (No. 216)
One atom of each set of equivalent atoms:
Li 0.000 0.000 0.000 (multiplicity 4)
Si 0.250 0.250 0.250 (multiplicity 4)
Os 0.000 0.000 0.500 (multiplicity 4)
W 0.250 0.250 0.750 (multiplicity 4)

---

Record 13
DFT (GGA-PBE) results for LiSm2Os after structural relaxation.

Its offset from the most stable computed form is 0.0793 eV/atom.

Cell: 3.471 3.471 8.313 Å, 90.00 90.00 90.00°
Space group P4/mmm (No. 123)
One atom of each set of equivalent atoms:
Li 0.000 0.000 0.000 (multiplicity 1)
Sm 0.500 0.500 0.295 (multiplicity 2)
Os 0.000 0.000 0.500 (multiplicity 1)

---

Record 14
DFT (GGA-PBE) results for LiSm3Os after structural relaxation.

Cell: 5.538 5.538 5.538 Å, 90.00 90.00 90.00°
Space group Pm-3m (No. 221)
One atom of each set of equivalent atoms:
Li 0.000 0.000 0.000 (multiplicity 1)
Sm 0.000 0.500 0.500 (multiplicity 3)
Os 0.500 0.500 0.500 (multiplicity 1)

---

Record 15
DFT (GGA-PBE) results for LiSm2Os after structural relaxation.

Its offset from the most stable computed form is 0.0000 eV/atom.

Cell: 7.068 7.068 7.068 Å, 90.00 90.00 90.00°
Space group Fm-3m (No. 225)
One atom of each set of equivalent atoms:
Li 0.000 0.000 0.000 (multiplicity 4)
Sm 0.250 0.250 0.250 (multiplicity 8)
Os 0.000 0.000 0.500 (multiplicity 4)

---

Record 16
DFT (GGA-PBE) results for LiSm2Os after structural relaxation.

Its offset from the most stable computed form is 0.3740 eV/atom.

Cell: 4.0196 4.0196 30.2880 Å, 90.00 90.00 120.00°
Space group R-3m (No. 166, hexagonal axes)
One atom of each set of equivalent atoms:
Li 0.0000 0.0000 0.0000 (multiplicity 3)
Sm 0.0000 0.0000 0.1161 (multiplicity 6)
Os 0.0000 0.0000 0.5000 (multiplicity 3)

---

Record 17
DFT (GGA-PBE) results for LiSmThOs after structural relaxation.

Cell: 7.142 7.142 7.142 Å, 90.00 90.00 90.00°
Space group F-43m (No. 216)
One atom of each set of equivalent atoms:
Li 0.000 0.000 0.000 (multiplicity 4)
Sm 0.250 0.250 0.750 (multiplicity 4)
Th 0.250 0.250 0.250 (multiplicity 4)
Os 0.000 0.000 0.500 (multiplicity 4)

---

Record 18
DFT (GGA-PBE) results for LiSmTmOs after structural relaxation.

Cell: 6.950 6.950 6.950 Å, 90.00 90.00 90.00°
Space group F-43m (No. 216)
One atom of each set of equivalent atoms:
Li 0.000 0.000 0.000 (multiplicity 4)
Sm 0.250 0.250 0.750 (multiplicity 4)
Tm 0.250 0.250 0.250 (multiplicity 4)
Os 0.000 0.000 0.500 (multiplicity 4)

---

Record 19
DFT (GGA-PBE) results for LiSmZrOs after structural relaxation.

Cell: 6.831 6.831 6.831 Å, 90.00 90.00 90.00°
Space group F-43m (No. 216)
One atom of each set of equivalent atoms:
Li 0.000 0.000 0.000 (multiplicity 4)
Sm 0.250 0.250 0.250 (multiplicity 4)
Zr 0.250 0.250 0.750 (multiplicity 4)
Os 0.000 0.000 0.500 (multiplicity 4)

---

Record 20
DFT (GGA-PBE) results for LiSn3Os after structural relaxation.

Its offset from the most stable computed form is 0.0000 eV/atom.

Cell: 5.198 5.198 5.198 Å, 90.00 90.00 90.00°
Space group Pm-3m (No. 221)
One atom of each set of equivalent atoms:
Li 0.000 0.000 0.000 (multiplicity 1)
Sn 0.000 0.500 0.500 (multiplicity 3)
Os 0.500 0.500 0.500 (multiplicity 1)

---

Record 21
DFT (GGA-PBE) results for Li3SnOs after structural relaxation.

Its offset from the most stable computed form is 0.0000 eV/atom.

Cell: 4.644 4.644 4.644 Å, 90.00 90.00 90.00°
Space group Pm-3m (No. 221)
One atom of each set of equivalent atoms:
Li 0.000 0.000 0.500 (multiplicity 3)
Sn 0.500 0.500 0.500 (multiplicity 1)
Os 0.000 0.000 0.000 (multiplicity 1)

---

Record 22
DFT (GGA-PBE) results for LiSnOs2 after structural relaxation.

Cell: 7.274 7.274 4.823 Å, 90.00 90.00 90.00°
Space group I-42d (No. 122)
One atom of each set of equivalent atoms:
Li 0.000 0.000 0.000 (multiplicity 4)
Sn 0.000 0.000 0.500 (multiplicity 4)
Os 0.192 0.750 0.125 (multiplicity 8)

---

Record 23
DFT (GGA-PBE) results for LiSnOs3 after structural relaxation.

Its offset from the most stable computed form is 0.0000 eV/atom.

Cell: 4.213 4.213 4.213 Å, 90.00 90.00 90.00°
Space group Pm-3m (No. 221)
One atom of each set of equivalent atoms:
Li 0.000 0.000 0.000 (multiplicity 1)
Sn 0.500 0.500 0.500 (multiplicity 1)
Os 0.000 0.000 0.500 (multiplicity 3)

---

Record 24
DFT (GGA-PBE) results for Li2Sn4Os after structural relaxation.

Cell: 5.125 5.125 13.839 Å, 90.00 90.00 90.00°
Space group I4/mmm (No. 139)
One atom of each set of equivalent atoms:
Li 0.000 0.000 0.113 (multiplicity 4)
Sn 0.000 0.000 0.304 (multiplicity 4)
Sn 0.000 0.500 0.000 (multiplicity 4)
Os 0.000 0.000 0.500 (multiplicity 2)

---

Record 25
DFT (GGA-PBE) results for Li2Sn2Os after structural relaxation.

Cell: 7.077 7.077 3.594 Å, 90.00 90.00 90.00°
Space group P4/mbm (No. 127)
One atom of each set of equivalent atoms:
Li 0.155 0.345 0.000 (multiplicity 4)
Sn 0.153 0.653 0.500 (multiplicity 4)
Os 0.000 0.000 0.500 (multiplicity 2)

---

Record 26
DFT (GGA-PBE) results for LiSn6Os after structural relaxation.

Cell: 7.845 12.797 4.778 Å, 90.00 127.38 90.00°
Space group C2/m (No. 12)
One atom of each set of equivalent atoms:
Li 0.000 0.000 0.000 (multiplicity 2)
Sn 0.242 0.184 0.242 (multiplicity 8)
Sn 0.244 0.500 0.244 (multiplicity 4)
Os 0.000 0.500 0.500 (multiplicity 2)

---

Record 27
DFT (GGA-PBE) results for Li2SnOs after structural relaxation.

Cell: 7.147 7.147 5.194 Å, 90.00 90.00 90.00°
Space group I-42d (No. 122)
One atom of each set of equivalent atoms:
Li 0.234 0.750 0.125 (multiplicity 8)
Sn 0.000 0.000 0.500 (multiplicity 4)
Os 0.000 0.000 0.000 (multiplicity 4)

---

Record 28
DFT (GGA-PBE) results for LiThSnOs after structural relaxation.

Cell: 6.853 6.853 6.853 Å, 90.00 90.00 90.00°
Space group F-43m (No. 216)
One atom of each set of equivalent atoms:
Li 0.000 0.000 0.000 (multiplicity 4)
Th 0.250 0.250 0.250 (multiplicity 4)
Sn 0.250 0.250 0.750 (multiplicity 4)
Os 0.000 0.000 0.500 (multiplicity 4)

---

Per-record size of the total moment, μB/f.u.: 0.000, 0.000, 0.001, 0.000, 0.000, 0.301, 0.272, 0.000, 0.000, 0.000, 0.000, 0.000, 0.000, 0.000, 0.000, 0.000, 0.000, 0.000, 0.000, 1.184, 0.000, 0.000, 1.600, 0.000, 0.000, 0.000, 0.000, 0.000
Per-record total energy, eV per atom: -4.830, -6.472, -7.954, -5.049, -7.434, -3.231, -5.305, -5.275, -8.070, -6.848, -5.133, -8.021, -5.700, -5.374, -5.780, -5.406, -6.450, -5.789, -6.752, -4.688, -3.331, -6.190, -6.615, -4.257, -4.495, -4.615, -4.347, -6.428